i | First-principles (PBE-GGA) data for crystalline YPbCl at its relaxed geometry, as listed in Alexandria.

Cell and atoms, written as POSCAR:
```
YPbCl
1.0
-1.9081 -1.2400 4.3155
-2.7723 -0.1033 -4.0132
1.0367 -3.7517 -0.6196
Cl Pb Y
1 1 1
Direct
0.0000 0.0000 0.8334
0.6667 0.3333 0.3331
0.3333 0.6667 0.8335
```

=====

ii | First-principles (PBE-GGA) data for crystalline YPbCl at its relaxed geometry, as listed in Alexandria.

Cell and atoms, written as POSCAR:
```
YPbCl
1.0
-3.5617 -2.2081 3.0421
1.3891 -2.0420 4.5515
-1.4230 2.3041 4.4138
Y Cl Pb
1 1 1
Direct
0.7500 0.7500 0.7500
0.0000 0.0000 0.0000
0.5000 0.5000 0.5000
```

=====

iii | First-principles (PBE-GGA) data for crystalline YPbCl at its relaxed geometry, as listed in Alexandria.

Cell and atoms, written as POSCAR:
```
YPbCl
1.0
3.7436 0.0000 0.0000
-1.8718 3.2421 0.0000
0.0000 0.0000 8.0014
Cl Y Pb
1 1 1
Direct
0.0000 0.0000 0.9140
0.3333 0.6667 0.6990
0.6667 0.3333 0.3869
```

=====

Energies relative to the most stable structure are i 0.238; ii 0.643; iii 0.000, reported in eV/atom.